[1]
Entry from Alexandria: a relaxed structure of BeSi2P (PBE).

```
data_BeSi2P
_cell_length_a 2.850
_cell_length_b 3.526
_cell_length_c 6.124
_cell_angle_alpha 90.00
_cell_angle_beta 90.00
_cell_angle_gamma 90.00
_space_group_name_H-M_alt 'P m m 2'
_space_group_IT_number 25
loop_
_space_group_symop_operation_xyz
'x,y,z'
'-x,-y,z'
'-x,y,z'
'x,-y,z'
loop_
_atom_site_label
_atom_site_type_symbol
_atom_site_fract_x
_atom_site_fract_y
_atom_site_fract_z
_atom_site_occupancy
Be1 Be 0.000 0.000 0.000 1
Si1 Si 0.000 0.000 0.632 1
Si2 Si 0.500 0.500 0.472 1
P1 P 0.500 0.500 0.103 1
```

Results
Crystal system: orthorhombic
Excess energy over the best structure of this formula in the dataset in meV per atom: 65
Raw formation energy in eV/atom: 0.2001

[2]
Entry from Alexandria: a relaxed structure of Be3SiP (PBE).

```
data_Be3SiP
_cell_length_a 4.097
_cell_length_b 4.097
_cell_length_c 4.097
_cell_angle_alpha 90.00
_cell_angle_beta 90.00
_cell_angle_gamma 90.00
_space_group_name_H-M_alt 'P m -3 m'
_space_group_IT_number 221
_space_group_name_Hall '-P 4 2 3'
loop_
_atom_site_label
_atom_site_type_symbol
_atom_site_fract_x
_atom_site_fract_y
_atom_site_fract_z
_atom_site_occupancy
Be1 Be 0.000 0.000 0.500 1
Si1 Si 0.500 0.500 0.500 1
P1 P 0.000 0.000 0.000 1
```

Results
Crystal system: cubic
Excess energy over the best structure of this formula in the dataset in meV per atom: 0
Raw formation energy in eV/atom: 0.7269

[3]
Entry from Alexandria: a relaxed structure of Be2SiP (PBE).

```
data_Be2SiP
_cell_length_a 3.272
_cell_length_b 4.170
_cell_length_c 6.808
_cell_angle_alpha 90.00
_cell_angle_beta 90.00
_cell_angle_gamma 90.00
_space_group_name_H-M_alt 'I m m m'
_space_group_IT_number 71
_space_group_name_Hall '-I 2 2'
loop_
_atom_site_label
_atom_site_type_symbol
_atom_site_fract_x
_atom_site_fract_y
_atom_site_fract_z
_atom_site_occupancy
Be1 Be 0.000 0.000 0.239 1
Si1 Si 0.000 0.500 0.000 1
P1 P 0.000 0.500 0.500 1
```

Results
Crystal system: orthorhombic
Excess energy over the best structure of this formula in the dataset in meV per atom: 406
Raw formation energy in eV/atom: 0.4332

[4]
Entry from Alexandria: a relaxed structure of BeSi2P (PBE).

```
data_BeSi2P
_cell_length_a 3.939
_cell_length_b 3.939
_cell_length_c 6.680
_cell_angle_alpha 90.00
_cell_angle_beta 90.00
_cell_angle_gamma 90.00
_space_group_name_H-M_alt 'I -4 m 2'
_space_group_IT_number 119
_space_group_name_Hall 'I -4 -2'
loop_
_atom_site_label
_atom_site_type_symbol
_atom_site_fract_x
_atom_site_fract_y
_atom_site_fract_z
_atom_site_occupancy
Be1 Be 0.000 0.000 0.000 1
Si1 Si 0.000 0.000 0.500 1
Si2 Si 0.000 0.500 0.250 1
P1 P 0.000 0.500 0.750 1
```

Results
Crystal system: tetragonal
Excess energy over the best structure of this formula in the dataset in meV per atom: 419
Raw formation energy in eV/atom: 0.5539

[5]
Entry from Alexandria: a relaxed structure of BeSiP (PBE).

```
data_BeSiP
_cell_length_a 3.725
_cell_length_b 5.373
_cell_length_c 5.484
_cell_angle_alpha 66.05
_cell_angle_beta 71.75
_cell_angle_gamma 76.53
_space_group_name_H-M_alt 'P 1'
_space_group_IT_number 1
loop_
_space_group_symop_operation_xyz
'x,y,z'
loop_
_atom_site_label
_atom_site_type_symbol
_atom_site_fract_x
_atom_site_fract_y
_atom_site_fract_z
_atom_site_occupancy
Be1 Be 0.000 0.000 0.000 1
Be2 Be 0.380 0.845 0.259 1
Si1 Si 0.217 0.535 0.106 1
Si2 Si 0.661 0.324 0.400 1
P1 P 0.493 0.235 0.866 1
P2 P 0.778 0.873 0.456 1
```

Results
Crystal system: triclinic
Excess energy over the best structure of this formula in the dataset in meV per atom: 182
Raw formation energy in eV/atom: 0.0229

[6]
Entry from Alexandria: a relaxed structure of Be2SiP (PBE).

```
data_Be2SiP
_cell_length_a 3.846
_cell_length_b 5.354
_cell_length_c 5.947
_cell_angle_alpha 76.53
_cell_angle_beta 88.38
_cell_angle_gamma 69.80
_space_group_name_H-M_alt 'P 1'
_space_group_IT_number 1
loop_
_space_group_symop_operation_xyz
'x,y,z'
loop_
_atom_site_label
_atom_site_type_symbol
_atom_site_fract_x
_atom_site_fract_y
_atom_site_fract_z
_atom_site_occupancy
Be1 Be 0.000 0.000 0.000 1
Be2 Be 0.100 0.275 0.243 1
Be3 Be 0.536 0.917 0.540 1
Be4 Be 0.794 0.461 0.785 1
Si1 Si 0.195 0.665 0.753 1
Si2 Si 0.480 0.513 0.137 1
P1 P 0.539 0.917 0.181 1
P2 P 0.910 0.132 0.609 1
```

Results
Crystal system: triclinic
Excess energy over the best structure of this formula in the dataset in meV per atom: 18
Raw formation energy in eV/atom: 0.0447

[7]
Entry from Alexandria: a relaxed structure of BeSi2P (PBE).

```
data_BeSi2P
_cell_length_a 6.651
_cell_length_b 3.584
_cell_length_c 5.594
_cell_angle_alpha 90.00
_cell_angle_beta 106.28
_cell_angle_gamma 90.00
_space_group_name_H-M_alt 'C 1 m 1'
_space_group_IT_number 8
loop_
_space_group_symop_operation_xyz
'x,y,z'
'x,-y,z'
'x+1/2,y+1/2,z'
'x+1/2,-y+1/2,z'
loop_
_atom_site_label
_atom_site_type_symbol
_atom_site_fract_x
_atom_site_fract_y
_atom_site_fract_z
_atom_site_occupancy
Be1 Be 0.000 0.000 0.000 1
Si1 Si 0.010 0.000 0.411 1
Si2 Si 0.232 0.500 0.593 1
P1 P 0.310 0.000 0.954 1
```

Results
Crystal system: monoclinic
Excess energy over the best structure of this formula in the dataset in meV per atom: 0
Raw formation energy in eV/atom: 0.1347

[8]
Entry from Alexandria: a relaxed structure of BeSiP (PBE).

```
data_BeSiP
_cell_length_a 2.583
_cell_length_b 2.583
_cell_length_c 11.446
_cell_angle_alpha 90.00
_cell_angle_beta 90.00
_cell_angle_gamma 90.00
_space_group_name_H-M_alt 'I 4 m m'
_space_group_IT_number 107
_space_group_name_Hall 'I 4 -2'
loop_
_atom_site_label
_atom_site_type_symbol
_atom_site_fract_x
_atom_site_fract_y
_atom_site_fract_z
_atom_site_occupancy
Be1 Be 0.000 0.000 0.000 1
Si1 Si 0.000 0.000 0.648 1
P1 P 0.000 0.000 0.361 1
```

Results
Crystal system: tetragonal
Excess energy over the best structure of this formula in the dataset in meV per atom: 614
Raw formation energy in eV/atom: 0.4553

[9]
Entry from Alexandria: a relaxed structure of BeSiP (PBE).

```
data_BeSiP
_cell_length_a 4.2027
_cell_length_b 4.2027
_cell_length_c 2.4985
_cell_angle_alpha 90.00
_cell_angle_beta 90.00
_cell_angle_gamma 120.00
_space_group_name_H-M_alt 'P -6 m 2'
_space_group_IT_number 187
_space_group_name_Hall 'P -6 2'
loop_
_atom_site_label
_atom_site_type_symbol
_atom_site_fract_x
_atom_site_fract_y
_atom_site_fract_z
_atom_site_occupancy
Be1 Be 0.0000 0.0000 0.0000 1
Si1 Si 0.3333 0.6667 0.0000 1
P1 P 0.6667 0.3333 0.0000 1
```

Results
Crystal system: hexagonal
Excess energy over the best structure of this formula in the dataset in meV per atom: 584
Raw formation energy in eV/atom: 0.4250

[10]
Entry from Alexandria: a relaxed structure of Be2SiP (PBE).

```
data_Be2SiP
_cell_length_a 3.745
_cell_length_b 5.132
_cell_length_c 5.986
_cell_angle_alpha 76.74
_cell_angle_beta 82.73
_cell_angle_gamma 70.69
_space_group_name_H-M_alt 'P 1'
_space_group_IT_number 1
loop_
_space_group_symop_operation_xyz
'x,y,z'
loop_
_atom_site_label
_atom_site_type_symbol
_atom_site_fract_x
_atom_site_fract_y
_atom_site_fract_z
_atom_site_occupancy
Be1 Be 0.000 0.000 0.000 1
Be2 Be 0.028 0.501 0.015 1
Be3 Be 0.440 0.695 0.795 1
Be4 Be 0.610 0.990 0.499 1
Si1 Si 0.058 0.559 0.602 1
Si2 Si 0.441 0.619 0.211 1
P1 P 0.035 0.111 0.636 1
P2 P 0.447 0.096 0.153 1
```

Results
Crystal system: triclinic
Excess energy over the best structure of this formula in the dataset in meV per atom: 47
Raw formation energy in eV/atom: 0.0745

[11]
Entry from Alexandria: a relaxed structure of BeSiP (PBE).

```
data_BeSiP
_cell_length_a 5.487
_cell_length_b 5.487
_cell_length_c 5.487
_cell_angle_alpha 90.00
_cell_angle_beta 90.00
_cell_angle_gamma 90.00
_space_group_name_H-M_alt 'F -4 3 m'
_space_group_IT_number 216
_space_group_name_Hall 'F -4 2 3'
loop_
_atom_site_label
_atom_site_type_symbol
_atom_site_fract_x
_atom_site_fract_y
_atom_site_fract_z
_atom_site_occupancy
Be1 Be 0.000 0.000 0.000 1
Si1 Si 0.250 0.250 0.250 1
P1 P 0.250 0.250 0.750 1
```

Results
Crystal system: cubic
Excess energy over the best structure of this formula in the dataset in meV per atom: 544
Raw formation energy in eV/atom: 0.3850

[12]
Entry from Alexandria: a relaxed structure of BeSi2P (PBE).

```
data_BeSi2P
_cell_length_a 5.425
_cell_length_b 7.567
_cell_length_c 2.549
_cell_angle_alpha 90.00
_cell_angle_beta 90.00
_cell_angle_gamma 90.00
_space_group_name_H-M_alt 'C m m m'
_space_group_IT_number 65
_space_group_name_Hall '-C 2 2'
loop_
_atom_site_label
_atom_site_type_symbol
_atom_site_fract_x
_atom_site_fract_y
_atom_site_fract_z
_atom_site_occupancy
Be1 Be 0.000 0.000 0.000 1
Si1 Si 0.250 0.250 0.500 1
P1 P 0.000 0.500 0.000 1
```

Results
Crystal system: orthorhombic
Excess energy over the best structure of this formula in the dataset in meV per atom: 416
Raw formation energy in eV/atom: 0.5509

[13]
Entry from Alexandria: a relaxed structure of Be2SiP (PBE).

```
data_Be2SiP
_cell_length_a 5.435
_cell_length_b 5.435
_cell_length_c 8.559
_cell_angle_alpha 90.00
_cell_angle_beta 90.00
_cell_angle_gamma 90.00
_space_group_name_H-M_alt 'I -4 2 d'
_space_group_IT_number 122
_space_group_name_Hall 'I -4 2bw'
loop_
_atom_site_label
_atom_site_type_symbol
_atom_site_fract_x
_atom_site_fract_y
_atom_site_fract_z
_atom_site_occupancy
Be1 Be 0.215 0.250 0.125 1
Si1 Si 0.000 0.000 0.500 1
P1 P 0.000 0.000 0.000 1
```

Results
Crystal system: tetragonal
Excess energy over the best structure of this formula in the dataset in meV per atom: 373
Raw formation energy in eV/atom: 0.3997

[14]
Entry from Alexandria: a relaxed structure of BeSiP (PBE).

```
data_BeSiP
_cell_length_a 3.768
_cell_length_b 5.524
_cell_length_c 5.525
_cell_angle_alpha 103.20
_cell_angle_beta 109.93
_cell_angle_gamma 109.93
_space_group_name_H-M_alt 'P 1'
_space_group_IT_number 1
loop_
_space_group_symop_operation_xyz
'x,y,z'
loop_
_atom_site_label
_atom_site_type_symbol
_atom_site_fract_x
_atom_site_fract_y
_atom_site_fract_z
_atom_site_occupancy
Be1 Be 0.000 0.000 0.000 1
Be2 Be 0.002 0.311 0.692 1
Si1 Si 0.064 0.716 0.406 1
Si2 Si 0.321 0.472 0.164 1
P1 P 0.324 0.784 0.864 1
P2 P 0.325 0.176 0.474 1
```

Results
Crystal system: triclinic
Excess energy over the best structure of this formula in the dataset in meV per atom: 55
Raw formation energy in eV/atom: -0.1035

[15]
Entry from Alexandria: a relaxed structure of BeSi2P (PBE).

```
data_BeSi2P
_cell_length_a 5.919
_cell_length_b 5.919
_cell_length_c 5.919
_cell_angle_alpha 90.00
_cell_angle_beta 90.00
_cell_angle_gamma 90.00
_space_group_name_H-M_alt 'F m -3 m'
_space_group_IT_number 225
_space_group_name_Hall '-F 4 2 3'
loop_
_atom_site_label
_atom_site_type_symbol
_atom_site_fract_x
_atom_site_fract_y
_atom_site_fract_z
_atom_site_occupancy
Be1 Be 0.000 0.000 0.000 1
Si1 Si 0.250 0.250 0.250 1
P1 P 0.000 0.000 0.500 1
```

Results
Crystal system: cubic
Excess energy over the best structure of this formula in the dataset in meV per atom: 492
Raw formation energy in eV/atom: 0.6265

[16]
Entry from Alexandria: a relaxed structure of Be2SiP (PBE).

```
data_Be2SiP
_cell_length_a 6.041
_cell_length_b 3.163
_cell_length_c 5.534
_cell_angle_alpha 90.00
_cell_angle_beta 107.43
_cell_angle_gamma 90.00
_space_group_name_H-M_alt 'C 1 2/m 1'
_space_group_IT_number 12
loop_
_space_group_symop_operation_xyz
'x,y,z'
'-x,-y,-z'
'-x,y,-z'
'x,-y,z'
'x+1/2,y+1/2,z'
'-x+1/2,-y+1/2,-z'
'-x+1/2,y+1/2,-z'
'x+1/2,-y+1/2,z'
loop_
_atom_site_label
_atom_site_type_symbol
_atom_site_fract_x
_atom_site_fract_y
_atom_site_fract_z
_atom_site_occupancy
Be1 Be 0.246 0.000 0.209 1
Si1 Si 0.000 0.000 0.500 1
P1 P 0.000 0.500 0.000 1
```

Results
Crystal system: monoclinic
Excess energy over the best structure of this formula in the dataset in meV per atom: 292
Raw formation energy in eV/atom: 0.3188

[17]
Entry from Alexandria: a relaxed structure of BeSi2P (PBE).

```
data_BeSi2P
_cell_length_a 2.554
_cell_length_b 3.829
_cell_length_c 5.308
_cell_angle_alpha 90.00
_cell_angle_beta 90.00
_cell_angle_gamma 90.00
_space_group_name_H-M_alt 'P m m m'
_space_group_IT_number 47
loop_
_space_group_symop_operation_xyz
'x,y,z'
'-x,-y,-z'
'-x,-y,z'
'x,y,-z'
'x,-y,-z'
'-x,y,z'
'-x,y,-z'
'x,-y,z'
loop_
_atom_site_label
_atom_site_type_symbol
_atom_site_fract_x
_atom_site_fract_y
_atom_site_fract_z
_atom_site_occupancy
Be1 Be 0.000 0.000 0.000 1
Si1 Si 0.500 0.500 0.235 1
P1 P 0.000 0.000 0.500 1
```

Results
Crystal system: orthorhombic
Excess energy over the best structure of this formula in the dataset in meV per atom: 396
Raw formation energy in eV/atom: 0.5310

[18]
Entry from Alexandria: a relaxed structure of BeSiP4 (PBE).

```
data_BeSiP4
_cell_length_a 7.026
_cell_length_b 7.026
_cell_length_c 7.026
_cell_angle_alpha 90.00
_cell_angle_beta 90.00
_cell_angle_gamma 90.00
_space_group_name_H-M_alt 'F -4 3 m'
_space_group_IT_number 216
_space_group_name_Hall 'F -4 2 3'
loop_
_atom_site_label
_atom_site_type_symbol
_atom_site_fract_x
_atom_site_fract_y
_atom_site_fract_z
_atom_site_occupancy
Be1 Be 0.000 0.000 0.000 1
Si1 Si 0.250 0.250 0.750 1
P1 P 0.126 0.126 0.374 1
```

Results
Crystal system: cubic
Raw formation energy in eV/atom: 0.8767

[19]
Entry from Alexandria: a relaxed structure of BeSiP (PBE).

```
data_BeSiP
_cell_length_a 2.567
_cell_length_b 3.236
_cell_length_c 9.944
_cell_angle_alpha 90.00
_cell_angle_beta 90.00
_cell_angle_gamma 90.00
_space_group_name_H-M_alt 'I m m 2'
_space_group_IT_number 44
loop_
_space_group_symop_operation_xyz
'x,y,z'
'-x,-y,z'
'-x,y,z'
'x,-y,z'
'x+1/2,y+1/2,z+1/2'
'-x+1/2,-y+1/2,z+1/2'
'-x+1/2,y+1/2,z+1/2'
'x+1/2,-y+1/2,z+1/2'
loop_
_atom_site_label
_atom_site_type_symbol
_atom_site_fract_x
_atom_site_fract_y
_atom_site_fract_z
_atom_site_occupancy
Be1 Be 0.000 0.000 0.000 1
Si1 Si 0.000 0.000 0.355 1
P1 P 0.000 0.000 0.605 1
```

Results
Crystal system: orthorhombic
Excess energy over the best structure of this formula in the dataset in meV per atom: 557
Raw formation energy in eV/atom: 0.3983

[20]
Entry from Alexandria: a relaxed structure of Be2SiP (PBE).

```
data_Be2SiP
_cell_length_a 3.832
_cell_length_b 5.349
_cell_length_c 5.798
_cell_angle_alpha 86.09
_cell_angle_beta 78.77
_cell_angle_gamma 69.56
_space_group_name_H-M_alt 'P 1'
_space_group_IT_number 1
loop_
_space_group_symop_operation_xyz
'x,y,z'
loop_
_atom_site_label
_atom_site_type_symbol
_atom_site_fract_x
_atom_site_fract_y
_atom_site_fract_z
_atom_site_occupancy
Be1 Be 0.000 0.000 0.000 1
Be2 Be 0.010 0.236 0.294 1
Be3 Be 0.519 0.637 0.460 1
Be4 Be 0.891 0.622 0.034 1
Si1 Si 0.438 0.213 0.915 1
Si2 Si 0.453 0.202 0.499 1
P1 P 0.443 0.653 0.839 1
P2 P 0.964 0.829 0.348 1
```

Results
Crystal system: triclinic
Excess energy over the best structure of this formula in the dataset in meV per atom: 52
Raw formation energy in eV/atom: 0.0790